The following is a DFT calculation (PBE) of a relaxed CaCe5Tl6 crystal.

a = 9.1483 Å, b = 9.1483 Å, c = 9.1483 Å
α = 148.29°, β = 119.82°, γ = 69.64°
Positions (direct):
Ca (0.0000, 0.0000, 0.0000)
Ce (0.1765, 0.6765, 0.5000)
Ce (0.3383, 0.3383, 0.0000)
Ce (0.5000, 0.0000, 0.5000)
Ce (0.6617, 0.6617, 0.0000)
Ce (0.8235, 0.3235, 0.5000)
Tl (0.0808, 0.8350, 0.2458)
Tl (0.2430, 0.5000, 0.7430)
Tl (0.4109, 0.1650, 0.2458)
Tl (0.5891, 0.8350, 0.7542)
Tl (0.7570, 0.5000, 0.2570)
Tl (0.9192, 0.1650, 0.7542)

Properties
Total moment, μB per cell: 6.1
Crystal system: orthorhombic
Energy of formation from the pure elements, eV/atom: -0.258